A relaxed KPtBr3 crystal, computed with GGA-PBE.

Calculated values
E_tot: -0.066 hartree per atom
relative energy among the computed polymorphs: 1.3724 eV per atom
E_form (uncorrected): 0.64 eV per atom

Structure (CIF):
```
data_KPtBr3
_chemical_formula_sum 'K1 Pt1 Br3'
_symmetry_space_group_name_H-M 'P 1'
_symmetry_Int_Tables_number 1
_cell_length_a 5.950
_cell_length_b 5.950
_cell_length_c 5.950
_cell_angle_alpha 90.00
_cell_angle_beta 90.00
_cell_angle_gamma 90.00
loop_
_symmetry_equiv_pos_as_xyz
'x,y,z'
loop_
_atom_site_label
_atom_site_fract_x
_atom_site_fract_y
_atom_site_fract_z
_atom_site_occupancy
K1 0.000 0.000 0.000 1
Pt1 0.500 0.500 0.500 1
Br1 0.000 0.500 0.000 1
Br2 0.000 0.000 0.500 1
Br3 0.500 0.000 0.000 1
```